[1]
## KBa2Sr8 (GGA-PBE)

Data for a geometry-optimized KBa2Sr8 structure.

Properties
ΔE_f: 0.0961 eV per atom
Offset from the most stable computed form: 0.00 eV/f.u.
Crystal system: tetragonal

Cell: 5.9750 5.9750 19.1546 Å, 90.00 90.00 90.00°
Last column: nearest neighbours and their distance in Å.
Fractional coordinates of all 11 atoms:
Sr 0.0000 0.5000 0.1718  6 Sr 4.22-4.33, 2 Ba 4.32, 2 K 4.44
Sr 0.5000 0.0000 0.5000  8 Sr 4.22-4.35, 4 Ba 4.36
Sr 0.0000 0.5000 0.5000  8 Sr 4.22-4.35, 4 Ba 4.36
Sr 0.5000 0.0000 0.8282  6 Sr 4.22-4.33, 2 Ba 4.32, 2 K 4.44
K 0.0000 0.0000 0.0000  8 Sr 4.44
Ba 0.0000 0.0000 0.3344  12 Sr 4.22-4.36
Sr 0.5000 0.5000 0.6649  4 Ba 4.22, 8 Sr 4.33-4.35
Ba 0.0000 0.0000 0.6656  12 Sr 4.22-4.36
Sr 0.5000 0.0000 0.1718  6 Sr 4.22-4.33, 2 Ba 4.32, 2 K 4.44
Sr 0.0000 0.5000 0.8282  6 Sr 4.22-4.33, 2 Ba 4.32, 2 K 4.44
Sr 0.5000 0.5000 0.3351  4 Ba 4.22, 8 Sr 4.33-4.35



[2]
## KBa6Sr8 (GGA-PBE)

Data for a geometry-optimized KBa6Sr8 structure.

Properties
ΔE_f: 0.0602 eV per atom
Crystal system: trigonal

Cell: 10.8099 10.8099 10.8099 Å, 59.96 59.96 59.96°
Last column: nearest neighbours and their distance in Å.
Fractional coordinates of all 15 atoms:
Sr 0.3393 0.1861 0.8758  6 Sr 4.08-4.47, 3 Ba 4.19-4.43, 1 K 4.37
Ba 0.9384 0.4668 0.7245  3 Ba 4.10-4.42, 5 Sr 4.19-4.50, 1 K 4.28
Ba 0.5332 0.2755 0.0616  3 Ba 4.10-4.42, 5 Sr 4.19-4.50, 1 K 4.28
Ba 0.2755 0.0616 0.5332  3 Ba 4.10-4.42, 5 Sr 4.19-4.50, 1 K 4.28
K 0.0000 0.0000 0.0000  6 Ba 4.28, 6 Sr 4.37
Ba 0.7245 0.9384 0.4668  3 Ba 4.10-4.42, 5 Sr 4.19-4.50, 1 K 4.28
Sr 0.6607 0.8139 0.1242  6 Sr 4.08-4.47, 3 Ba 4.19-4.43, 1 K 4.37
Sr 0.8139 0.1242 0.6607  6 Sr 4.08-4.47, 3 Ba 4.19-4.43, 1 K 4.37
Sr 0.1242 0.6607 0.8139  6 Sr 4.08-4.47, 3 Ba 4.19-4.43, 1 K 4.37
Sr 0.4227 0.4227 0.4227  4 Sr 4.08-4.09, 6 Ba 4.34-4.50
Sr 0.1861 0.8758 0.3393  6 Sr 4.08-4.47, 3 Ba 4.19-4.43, 1 K 4.37
Ba 0.0616 0.5332 0.2755  3 Ba 4.10-4.42, 5 Sr 4.19-4.50, 1 K 4.28
Ba 0.4668 0.7245 0.9384  3 Ba 4.10-4.42, 5 Sr 4.19-4.50, 1 K 4.28
Sr 0.8758 0.3393 0.1861  6 Sr 4.08-4.47, 3 Ba 4.19-4.43, 1 K 4.37
Sr 0.5773 0.5773 0.5773  4 Sr 4.08-4.09, 6 Ba 4.34-4.50



[3]
## KBaSr2 (GGA-PBE)

Data for a geometry-optimized KBaSr2 structure.

Properties
ΔE_f: 0.0765 eV per atom
Offset from the most stable computed form: 0.10 eV/f.u.
Crystal system: tetragonal

Cell: 4.8989 4.8989 10.1594 Å, 90.00 90.00 90.00°
Last column: nearest neighbours and their distance in Å.
Fractional coordinates of all 4 atoms:
Ba 0.0000 0.0000 0.4837  5 Sr 4.25-4.75, 4 K 4.45
K 0.5000 0.5000 0.7586  4 Sr 4.34, 4 Ba 4.45
Sr 0.0000 0.0000 0.0166  4 Sr 4.15, 4 K 4.34
Sr 0.5000 0.5000 0.2411  4 Sr 4.15, 4 Ba 4.25



[4]
## KBa6Sr4 (GGA-PBE)

Data for a geometry-optimized KBa6Sr4 structure.

Properties
ΔE_f: 0.2134 eV per atom
Crystal system: tetragonal

Cell: 8.0051 8.0051 12.4207 Å, 108.80 108.80 90.00°
Last column: nearest neighbours and their distance in Å.
Fractional coordinates of all 11 atoms:
Sr 0.3049 0.3049 0.2518  7 Ba 4.05-4.45, 1 Sr 4.05
Sr 0.6951 0.0531 0.7482  7 Ba 4.05-4.45, 1 Sr 4.05
Ba 0.4897 0.8804 0.3701  5 Sr 4.18-4.45, 1 Ba 4.42, 1 K 4.65
Ba 0.8804 0.4897 0.3701  5 Sr 4.18-4.45, 1 Ba 4.42, 1 K 4.65
Sr 0.9469 0.9469 0.2518  7 Ba 4.05-4.45, 1 Sr 4.05
Ba 0.5103 0.5103 0.6299  5 Sr 4.18-4.45, 1 Ba 4.42, 1 K 4.65
Ba 0.5000 0.0000 0.0000  2 K 4.00, 4 Sr 4.05
Sr 0.0531 0.6951 0.7482  7 Ba 4.05-4.45, 1 Sr 4.05
Ba 0.1196 0.1196 0.6299  5 Sr 4.18-4.45, 1 Ba 4.42, 1 K 4.65
K 0.5000 0.5000 0.0000  4 Ba 4.00
Ba 0.0000 0.5000 0.0000  2 K 4.00, 4 Sr 4.05



The highest ΔE_f belongs to which entry?
KBa6Sr4